Below is a geometry-optimized Na4ZnHg4 structure, with properties calculated at the PBE-GGA level. Values from VASP.

Cell and atoms, written as Quantum ESPRESSO input:
```
&SYSTEM
  ibrav = 0, nat = 9, ntyp = 3
/
ATOMIC_SPECIES
Na 22.99 Na.upf
Zn 65.41 Zn.upf
Hg 200.59 Hg.upf
CELL_PARAMETERS angstrom
-3.225 3.225 6.389
3.225 -3.225 6.389
3.225 3.225 -6.389
ATOMIC_POSITIONS angstrom
Na 1.846 -1.846 4.789
Na 1.379 1.379 1.600
Na -1.846 1.846 4.789
Na 1.846 1.846 7.989
Zn 0.000 0.000 6.389
Hg 1.715 1.715 -1.708
Hg 1.510 -1.510 8.097
Hg 1.510 1.510 4.680
Hg -1.510 1.510 8.097
```

Results
- ΔH_f (0 K): -101.7 meV/atom